# 1
# PIr2Rh

A geometry-optimized PIr2Rh structure (GGA-PBE, Alexandria via LeMat-Bulk).

Geometry as POSCAR:
```
PIr2Rh
1.0
-2.095 -1.581 4.673
3.145 -3.231 -2.898
2.189 -0.505 1.625
Rh Ir P
1 2 1
Cartesian
1.619 -2.658 1.700
1.572 -1.615 -1.449
-1.048 -0.790 2.336
1.095 -0.253 0.813
```

Calculated values
E	-29.74	eV for the cell shown
DOS(E_F)	1.045	states/eV per atom
space group	C2/m

# 2
# PIr2Rh

A geometry-optimized PIr2Rh structure (GGA-PBE, Alexandria via LeMat-Bulk).

Geometry as POSCAR:
```
PIr2Rh
1.0
2.841 0.000 0.000
0.000 2.841 0.000
0.000 0.000 6.890
P Ir Rh
1 2 1
Cartesian
1.421 1.421 0.000
0.000 0.000 1.473
0.000 0.000 5.417
1.421 1.421 3.445
```

Calculated values
E	-30.35	eV for the cell shown
DOS(E_F)	1.539	states/eV per atom
space group	P4/mmm

> Which value of E does entry 2 give?

-30.35 eV for the cell shown

> Among the records above, which one has the lowest E?

number 2

> Which formula does entry 2 have?

PIr2Rh

> What is the formula in the first record?

PIr2Rh